Computed, not measured: crystalline SrLa2Pt at its relaxed geometry at the PBE level of DFT.

abc: 9.082 9.082 6.845
angles: 90.00 90.00 90.00
Space group I-42d (No. 122)
Symmetry-distinct sites (fractional):
Sr1 0.000 0.000 0.000 (multiplicity 4)
La1 0.171 0.250 0.625 (multiplicity 8)
Pt1 0.000 0.000 0.500 (multiplicity 4)

Values from the calculation:
N(E_F), states/eV/f.u.: 4.55
ΔE_f, eV/atom: -0.4080
Total moment, μB/f.u.: 0.00
Relative energy among the computed polymorphs, eV/f.u.: 0.66
Electronic total energy, eV/atom: -4.802

Computed, not measured: crystalline CaPmEr2As4 at its relaxed geometry at the PBE level of DFT.

abc: 7.196 4.151 7.242
angles: 90.00 109.29 90.00
Space group P2/m (No. 10)
Symmetry-distinct sites (fractional):
Ca1 0.000 0.000 0.000 (multiplicity 1)
Pm1 0.500 0.500 0.000 (multiplicity 1)
Er1 0.000 0.500 0.500 (multiplicity 1)
Er2 0.500 0.000 0.500 (multiplicity 1)
As1 0.247 0.000 0.739 (multiplicity 2)
As2 0.256 0.500 0.263 (multiplicity 2)

Values from the calculation:
N(E_F), states/eV/f.u.: 3.90
ΔE_f, eV/atom: -1.3601
Total moment, μB/f.u.: 0.00
Electronic total energy, eV/atom: -5.670

Computed, not measured: crystalline Tb2Dy3Y6 at its relaxed geometry at the PBE level of DFT.

abc: 3.583 17.262 11.766
angles: 90.00 90.00 90.00
Space group Pnnm (No. 58)
Symmetry-distinct sites (fractional):
Tb1 0.218 0.083 0.000 (multiplicity 4)
Dy1 0.000 0.000 0.259 (multiplicity 4)
Dy2 0.000 0.500 0.000 (multiplicity 2)
Y1 0.140 0.327 0.291 (multiplicity 8)
Y2 0.168 0.293 0.000 (multiplicity 4)

Values from the calculation:
N(E_F), states/eV/f.u.: 15.80
ΔE_f, eV/atom: 0.2000
Total moment, μB/f.u.: 0.00
Relative energy among the computed polymorphs, eV/f.u.: 0.00
Electronic total energy, eV/atom: -5.423

Computed, not measured: crystalline RbAlNF2 at its relaxed geometry at the PBE level of DFT.

abc: 5.192 5.192 5.229
angles: 90.00 90.00 90.00
Space group P4/mmm (No. 123)
Symmetry-distinct sites (fractional):
Rb1 0.000 0.000 0.000 (multiplicity 1)
Al1 0.500 0.500 0.500 (multiplicity 1)
N1 0.000 0.000 0.500 (multiplicity 1)
F1 0.000 0.500 0.000 (multiplicity 2)

Values from the calculation:
N(E_F), states/eV/f.u.: 2.02
Total moment, μB/f.u.: 3.03
ΔE_f (raw), eV/atom: 0.069
Relative energy among the computed polymorphs, eV/f.u.: 9.08
Electronic total energy, eV/atom: -3.287